DFT (GGA-PBE) results for YZrB3 after structural relaxation.

Summary:
Magnetization = 0.00 μB per cell
DFT formation energy = 1.58 eV per atom

Cell: 4.339 4.339 4.339 Å, 90.00 90.00 90.00°
Space group Pm-3m (No. 221)
One atom of each set of equivalent atoms:
Y1 0.000 0.000 0.000 x1
Zr1 0.500 0.500 0.500 x1
B1 0.000 0.000 0.500 x3

---

DFT (GGA-PBE) results for TmTiPd after structural relaxation.

Summary:
Magnetization = 0.27 μB per cell
DFT formation energy = -0.17 eV per atom

Cell: 3.4250 3.4250 12.5463 Å, 90.00 90.00 120.00°
Space group P-6m2 (No. 187)
One atom of each set of equivalent atoms:
Tm1 0.0000 0.0000 0.1678 x2
Ti1 0.6667 0.3333 0.3660 x2
Pd1 0.0000 0.0000 0.5000 x1
Pd2 0.6667 0.3333 0.0000 x1

---

DFT (GGA-PBE) results for BiMoPtRh2 after structural relaxation.

Summary:
Magnetization = 0.00 μB per cell
DFT formation energy = 1.21 eV per atom

Cell: 4.635 4.635 5.269 Å, 90.00 90.00 90.00°
Space group P4/mmm (No. 123)
One atom of each set of equivalent atoms:
Bi1 0.000 0.000 0.000 x1
Mo1 0.000 0.000 0.500 x1
Pt1 0.500 0.500 0.000 x1
Rh1 0.000 0.500 0.500 x2

---

DFT (GGA-PBE) results for Zr2OsCl after structural relaxation.

Summary:
Energy relative to the elements, uncorrected = -0.002 eV per atom
Magnetization = 0.00 μB per cell

Cell: 3.781 3.781 10.636 Å, 90.00 90.00 90.00°
Space group I-4m2 (No. 119)
One atom of each set of equivalent atoms:
Zr1 0.000 0.000 0.000 x2
Zr2 0.000 0.500 0.250 x2
Os1 0.000 0.000 0.500 x2
Cl1 0.000 0.500 0.750 x2

---

DFT (GGA-PBE) results for Ag2PtW after structural relaxation.

Summary:
Magnetization = 0.00 μB per cell
DFT formation energy = 0.28 eV per atom

Cell: 2.8188 2.8188 28.8639 Å, 90.00 90.00 120.00°
Space group R-3m (No. 166, hexagonal axes)
One atom of each set of equivalent atoms:
Ag1 0.0000 0.0000 0.2505 x6
Pt1 0.0000 0.0000 0.0000 x3
W1 0.0000 0.0000 0.5000 x3

---

DFT (GGA-PBE) results for K8Rb2NaAu after structural relaxation.

Summary:
Magnetization = 0.00 μB per cell
DFT formation energy = -0.03 eV per atom

Cell: 8.041 9.431 11.460 Å, 104.14 102.17 106.18°
Space group P-1 (No. 2)
One atom of each set of equivalent atoms:
K1 0.052 0.256 0.244 x2
K2 0.098 0.708 0.197 x2
K3 0.349 0.407 0.641 x2
K4 0.386 0.835 0.597 x2
Rb1 0.430 0.219 0.979 x2
Na1 0.000 0.000 0.500 x1
Au1 0.000 0.500 0.500 x1

---

DFT (GGA-PBE) results for SmYZnOs after structural relaxation.

Summary:
Magnetization = 0.00 μB per cell
DFT formation energy = -0.21 eV per atom

Cell: 7.028 7.028 7.028 Å, 90.00 90.00 90.00°
Space group F-43m (No. 216)
One atom of each set of equivalent atoms:
Sm1 0.000 0.000 0.000 x4
Y1 0.000 0.000 0.500 x4
Zn1 0.250 0.250 0.250 x4
Os1 0.250 0.250 0.750 x4

---

DFT (GGA-PBE) results for Na2Tl3Sb2 after structural relaxation.

Summary:
Energy relative to the elements, uncorrected = -0.162 eV per atom
Magnetization = 0.00 μB per cell

Cell: 10.790 4.972 7.680 Å, 90.00 97.01 90.00°
Space group C2/m (No. 12)
One atom of each set of equivalent atoms:
Na1 0.137 0.000 0.421 x4
Tl1 0.000 0.000 0.000 x2
Tl2 0.215 0.500 0.145 x4
Sb1 0.073 0.500 0.685 x4